DFT (PBE) results for a relaxed Pu2MgSb4 crystal.

Calculated values
The calculation puts the total energy at -7.13 eV per atom. The calculation puts the formation energy from raw total energies at -3.16 eV per formula unit.

POSCAR file:
```
Pu2MgSb4
1.0
-2.6915 0.4433 -3.3231
2.8565 -1.9275 -2.5707
-4.3771 -9.5213 2.2752
Pu Mg Sb
2 1 4
Cartesian
-4.5384 -6.7233 -0.0020
0.2439 -3.5401 -0.6697
0.0825 -0.7421 -2.9469
-2.1373 -1.5001 -1.2501
-2.1573 -8.7633 0.5784
-2.1060 -5.5028 -1.8093
-2.1885 -4.7606 1.1376
```

DFT (PBE) results for a relaxed PuMg2Sb crystal.

Calculated values
The calculation puts the total energy at -5.22 eV per atom. Its energy above the most stable polymorph in this dataset is 0.487 eV/atom. The calculation puts the formation energy from raw total energies at 0.76 eV per formula unit.

POSCAR file:
```
PuMg2Sb
1.0
-0.1021 -0.3025 -3.2321
2.1131 -1.9451 -1.5165
-6.6331 -9.5018 -0.5332
Sb Mg Pu
1 2 1
Cartesian
-2.3110 -5.8747 -2.6409
-4.6297 -7.1009 -0.8211
0.0077 -4.6485 -4.4607
0.0000 0.0000 0.0000
```